Entry 1:
# ZnAsNO2

Crystalline ZnAsNO2 at its relaxed geometry (PBE, the Alexandria database).

* raw formation energy: 3.2 eV per formula unit
* VASP energy: -4.191 eV/atom
* magnetic moment: 0.7 Bohr magnetons per cell
* SG: P4/mmm (123)

a = 3.7919 Å, b = 3.7919 Å, c = 3.9552 Å
α = 90.00°, β = 90.00°, γ = 90.00°
Last column: nearest neighbours and their distance in Å.
Fractional positions:
Zn 0.0000 0.0000 0.0000  4 O 1.90, 2 N 1.98
As 0.5000 0.5000 0.5000  4 N 2.68, 8 O 2.74
N 0.0000 0.0000 0.5000  2 Zn 1.98
O 0.0000 0.5000 0.0000  2 Zn 1.90
O 0.5000 0.0000 0.0000  2 Zn 1.90

***

Entry 2:
# ZnAsNO2

Crystalline ZnAsNO2 at its relaxed geometry (PBE, the Alexandria database).

* raw formation energy: 0.2 eV per formula unit
* VASP energy: -4.796 eV/atom
* magnetic moment: 0.0 Bohr magnetons per cell
* SG: P4/mmm (123)

a = 3.6702 Å, b = 3.6702 Å, c = 3.8773 Å
α = 90.00°, β = 90.00°, γ = 90.00°
Last column: nearest neighbours and their distance in Å.
Fractional positions:
Zn 0.0000 0.0000 0.0000  4 N 2.60, 8 O 2.67
As 0.5000 0.5000 0.5000  4 O 1.84, 2 N 1.94
N 0.5000 0.5000 0.0000  2 As 1.94
O 0.0000 0.5000 0.5000  2 As 1.84
O 0.5000 0.0000 0.5000  2 As 1.84

***

Entry 3:
# AsOs2N4

Crystalline AsOs2N4 at its relaxed geometry (PBE, the Alexandria database).

* raw formation energy: 11.5 eV per formula unit
* VASP energy: -6.987 eV/atom
* magnetic moment: 0.0 Bohr magnetons per cell
* SG: I4/mmm (139)

a = 5.9217 Å, b = 5.9217 Å, c = 5.9217 Å
α = 140.06°, β = 140.06°, γ = 57.76°
Last column: nearest neighbours and their distance in Å.
Fractional positions:
As 0.0000 0.0000 0.0000  6 N 2.02-2.12
Os 0.3708 0.3708 0.0000  1 N 1.73
Os 0.6292 0.6292 0.0000  1 N 1.73
N 0.0000 0.5000 0.5000  2 As 2.02
N 0.2043 0.2043 0.0000  1 Os 1.73
N 0.5000 0.0000 0.5000  2 As 2.02
N 0.7957 0.7957 0.0000  1 Os 1.73

***

Entry 4:
# As2OsN

Crystalline As2OsN at its relaxed geometry (PBE, the Alexandria database).

* raw formation energy: 2.7 eV per formula unit
* VASP energy: -6.542 eV/atom
* magnetic moment: 0.0 Bohr magnetons per cell
* SG: I-42d (122)

a = 6.0746 Å, b = 6.0746 Å, c = 6.0746 Å
α = 128.46°, β = 128.46°, γ = 75.88°
Last column: nearest neighbours and their distance in Å.
Fractional positions:
As 0.0825 0.6250 0.9575  2 N 2.09
As 0.3750 0.3325 0.4575  2 N 2.09
As 0.6675 0.1250 0.0425  2 N 2.09
As 0.8750 0.9175 0.5425  2 N 2.09
Os 0.2500 0.7500 0.5000  4 As 2.36
Os 0.5000 0.5000 0.0000  4 As 2.36
N 0.0000 0.0000 0.0000  4 As 2.09
N 0.7500 0.2500 0.5000  4 As 2.09

***

Entry 5:
# Pa2As2OsN2

Crystalline Pa2As2OsN2 at its relaxed geometry (PBE, the Alexandria database).

* raw formation energy: -2.9 eV per formula unit
* VASP energy: -8.434 eV/atom
* magnetic moment: 0.0 Bohr magnetons per cell
* SG: P-3m1 (164)

a = 3.6671 Å, b = 3.6671 Å, c = 10.5820 Å
α = 90.00°, β = 90.00°, γ = 120.00°
Last column: nearest neighbours and their distance in Å.
Fractional positions:
Pa 0.3333 0.6667 0.2939  3 N 2.48
Pa 0.6667 0.3333 0.7061  3 N 2.48
As 0.0000 0.0000 0.1188  1 As 2.51, 3 Pa 2.81
As 0.0000 0.0000 0.8812  1 As 2.51, 3 Pa 2.81
Os 0.0000 0.0000 0.5000  6 N 2.30
N 0.3333 0.6667 0.5840  3 Os 2.30, 3 Pa 2.48
N 0.6667 0.3333 0.4160  3 Os 2.30, 3 Pa 2.48

***

Entry 6:
# As2OsPtN

Crystalline As2OsPtN at its relaxed geometry (PBE, the Alexandria database).

* raw formation energy: 5.1 eV per formula unit
* VASP energy: -5.962 eV/atom
* magnetic moment: 0.0 Bohr magnetons per cell
* SG: P4/mmm (123)

a = 4.2675 Å, b = 4.2675 Å, c = 4.0483 Å
α = 90.00°, β = 90.00°, γ = 90.00°
Last column: nearest neighbours and their distance in Å.
Fractional positions:
As 0.0000 0.5000 0.0000  2 N 2.13
As 0.5000 0.0000 0.0000  2 N 2.13
Os 0.0000 0.0000 0.5000  8 As 2.94, 4 Pt 3.02
Pt 0.5000 0.5000 0.5000  2 N 2.02
N 0.5000 0.5000 0.0000  2 Pt 2.02, 4 As 2.13